! Pa2Co4As3Ir PBE optimized geometry; values from VASP
&SYSTEM
  ibrav = 0, nat = 10, ntyp = 4
/
ATOMIC_SPECIES
Co 58.93 Co.upf
As 74.92 As.upf
Pa 231.04 Pa.upf
Ir 192.22 Ir.upf
ATOMIC_POSITIONS angstrom
Co 1.907 0.000 7.119
As 0.000 0.000 5.353
As 1.907 0.000 9.389
Co 0.000 0.000 0.000
Pa 0.000 1.907 7.914
Ir 1.907 1.907 5.353
Co 1.907 1.907 0.000
As 0.000 1.907 1.317
Co 0.000 1.907 3.587
Pa 1.907 0.000 2.792
CELL_PARAMETERS angstrom
3.815 0.000 0.000
0.000 3.815 0.000
0.000 0.000 10.706
! Electronic total energy ... -76.23 eV/cell
! Formation enthalpy at 0 K ... -0.6002 eV per atom


! Co2AsIrPb PBE optimized geometry; values from VASP
&SYSTEM
  ibrav = 0, nat = 5, ntyp = 4
/
ATOMIC_SPECIES
Pb 207.20 Pb.upf
Co 58.93 Co.upf
Ir 192.22 Ir.upf
As 74.92 As.upf
ATOMIC_POSITIONS angstrom
Pb 0.000 0.000 0.000
Co 2.343 0.000 0.000
Co 0.000 0.000 2.343
Ir 2.343 2.586 2.343
As 0.000 2.586 0.000
CELL_PARAMETERS angstrom
4.687 0.000 0.000
0.000 5.171 0.000
0.000 0.000 4.687
! Electronic total energy ... -20.93 eV/cell
! Formation enthalpy at 0 K ... 2.1000 eV per atom


! Pm2Co3As4Ir PBE optimized geometry; values from VASP
&SYSTEM
  ibrav = 0, nat = 10, ntyp = 4
/
ATOMIC_SPECIES
As 74.92 As.upf
Pm 145.00 Pm.upf
Co 58.93 Co.upf
Ir 192.22 Ir.upf
ATOMIC_POSITIONS angstrom
As -1.993 -0.218 -2.179
Pm 0.004 -7.412 -1.275
As 0.053 -3.628 -1.698
Co -0.062 -4.742 0.531
As -2.171 -6.073 0.581
Co 0.084 -1.302 -1.959
Ir -2.055 -4.959 -1.648
Co -2.202 -8.399 0.841
Pm -2.121 -2.289 0.158
As 0.000 0.000 0.000
CELL_PARAMETERS angstrom
-4.182 0.032 -0.201
0.196 -0.468 -4.156
-0.124 -9.483 1.061
! Electronic total energy ... -65.82 eV/cell
! Formation enthalpy at 0 K ... -0.7543 eV per atom


! Pr2CoAs4Ir3 PBE optimized geometry; values from VASP
&SYSTEM
  ibrav = 0, nat = 10, ntyp = 4
/
ATOMIC_SPECIES
As 74.92 As.upf
Ir 192.22 Ir.upf
Co 58.93 Co.upf
Pr 140.91 Pr.upf
ATOMIC_POSITIONS angstrom
As 0.000 2.163 3.681
Ir 0.000 0.000 4.953
As 2.163 2.163 0.000
Co 2.163 2.163 4.953
Pr 0.000 2.163 7.429
Pr 2.163 0.000 2.478
As 2.163 0.000 6.225
Ir 2.163 0.000 8.701
As 0.000 0.000 0.000
Ir 0.000 2.163 1.206
CELL_PARAMETERS angstrom
4.327 0.000 0.000
0.000 4.327 0.000
0.000 0.000 9.906
! Electronic total energy ... -69.11 eV/cell
! Formation enthalpy at 0 K ... -0.7268 eV per atom